Sr2TiRh (PBE, optimized geometry); E above lowest polymorph = 0.00 kcal/mol of atoms; DFT total energy = -4.454 eV/atom; formation energy from the elements = 198 meV/atom
1.0
11.501 0.000 0.000
0.000 11.501 0.000
0.000 0.000 4.659
Sr Ti Rh
8 4 4
direct
0.083 0.250 0.125
0.250 0.583 0.375
0.250 0.917 0.875
0.417 0.250 0.625
0.583 0.750 0.625
0.750 0.083 0.875
0.750 0.417 0.375
0.917 0.750 0.125
0.000 0.000 0.500
0.000 0.500 0.750
0.500 0.000 0.250
0.500 0.500 0.000
0.000 0.000 0.000
0.000 0.500 0.250
0.500 0.000 0.750
0.500 0.500 0.500